(1)
! K2YFe, optimized geometry, DFT PBE; values from VASP
! - energy above the lowest structure with this stoichiometry (eV/atom) = 0.3957
! - formation energy (meV per atom) = 897.6
! - Fermi-level density of states (states/eV/atom) = 1.525
! - space group = I4/mmm
&SYSTEM
  ibrav = 0, nat = 4, ntyp = 3
/
ATOMIC_SPECIES
K 39.10 K.upf
Y 88.91 Y.upf
Fe 55.84 Fe.upf
ATOMIC_POSITIONS angstrom
K 2.242 0.000 3.315
K 0.000 2.242 3.315
Y 0.000 0.000 0.000
Fe 0.000 0.000 6.630
CELL_PARAMETERS angstrom
-2.242 2.242 6.630
2.242 -2.242 6.630
2.242 2.242 -6.630


(2)
! PmThNi3, optimized geometry, DFT PBE; values from VASP
! - energy above the lowest structure with this stoichiometry (eV/atom) = 0.0027
! - formation energy (meV per atom) = -390.9
! - Fermi-level density of states (states/eV/atom) = 0.983
! - space group = Cmcm
&SYSTEM
  ibrav = 0, nat = 10, ntyp = 3
/
ATOMIC_SPECIES
Pm 145.00 Pm.upf
Th 232.04 Th.upf
Ni 58.69 Ni.upf
ATOMIC_POSITIONS angstrom
Pm 1.926 7.525 3.047
Pm 1.926 -7.525 1.016
Th 1.926 10.841 1.016
Th 1.926 -10.841 3.047
Ni 1.926 4.323 3.047
Ni 1.926 2.956 1.016
Ni 1.926 0.604 1.016
Ni 1.926 -0.604 3.047
Ni 1.926 -2.956 3.047
Ni 1.926 -4.323 1.016
CELL_PARAMETERS angstrom
1.926 -12.603 0.000
1.926 12.603 0.000
0.000 0.000 4.063


(3)
! Ba2SrAg3, optimized geometry, DFT PBE; values from VASP
! - formation energy (meV per atom) = -242.9
! - Fermi-level density of states (states/eV/atom) = 0.874
! - space group = P4/mmm
&SYSTEM
  ibrav = 0, nat = 6, ntyp = 3
/
ATOMIC_SPECIES
Ba 137.33 Ba.upf
Sr 87.62 Sr.upf
Ag 107.87 Ag.upf
ATOMIC_POSITIONS angstrom
Ba 0.000 0.000 2.059
Ba 0.000 0.000 9.969
Sr 0.000 0.000 6.014
Ag 2.044 2.044 0.000
Ag 2.044 2.044 4.245
Ag 2.044 2.044 7.784
CELL_PARAMETERS angstrom
4.089 0.000 0.000
0.000 4.089 0.000
0.000 0.000 12.028


(4)
! BiPbSeN2, optimized geometry, DFT PBE; values from VASP
! - energy above the lowest structure with this stoichiometry (eV/atom) = 0.0000
! - Fermi-level density of states (states/eV/atom) = 0.677
! - formation energy (no corrections) (eV per atom) = 1.22
! - space group = P4/mmm
&SYSTEM
  ibrav = 0, nat = 5, ntyp = 4
/
ATOMIC_SPECIES
Bi 208.98 Bi.upf
Pb 207.20 Pb.upf
Se 78.96 Se.upf
N 14.01 N.upf
ATOMIC_POSITIONS angstrom
Bi 0.000 0.000 0.000
Pb 2.296 2.296 3.081
Se 0.000 0.000 3.081
N 0.000 2.296 0.000
N 2.296 0.000 0.000
CELL_PARAMETERS angstrom
4.591 0.000 0.000
0.000 4.591 0.000
0.000 0.000 6.162


(5)
! KMnTe2N, optimized geometry, DFT PBE; values from VASP
! - energy above the lowest structure with this stoichiometry (eV/atom) = 0.0000
! - Fermi-level density of states (states/eV/atom) = 0.338
! - formation energy (no corrections) (eV per atom) = -0.13
! - space group = P4/mmm
&SYSTEM
  ibrav = 0, nat = 5, ntyp = 4
/
ATOMIC_SPECIES
K 39.10 K.upf
Mn 54.94 Mn.upf
Te 127.60 Te.upf
N 14.01 N.upf
ATOMIC_POSITIONS angstrom
K 0.000 0.000 0.000
Mn 2.954 2.954 1.741
Te 0.000 2.954 1.741
Te 2.954 0.000 1.741
N 2.954 2.954 0.000
CELL_PARAMETERS angstrom
5.907 0.000 0.000
0.000 5.907 0.000
0.000 0.000 3.481


(6)
! PaTl2AuSe4, optimized geometry, DFT PBE; values from VASP
! - Fermi-level density of states (states/eV/atom) = 0.329
! - formation energy (no corrections) (eV per atom) = -0.68
! - space group = P2/m
&SYSTEM
  ibrav = 0, nat = 8, ntyp = 4
/
ATOMIC_SPECIES
Pa 231.04 Pa.upf
Tl 204.38 Tl.upf
Au 196.97 Au.upf
Se 78.96 Se.upf
ATOMIC_POSITIONS angstrom
Pa 0.000 0.000 0.000
Tl -1.374 2.089 3.908
Tl 2.093 0.000 3.908
Au 3.467 2.089 0.000
Se 0.889 2.089 1.684
Se -0.381 0.000 6.331
Se 4.568 0.000 1.484
Se 3.297 2.089 6.131
CELL_PARAMETERS angstrom
6.933 0.000 0.000
0.000 4.179 0.000
-2.747 0.000 7.815


(7)
! Hf2MoCCl, optimized geometry, DFT PBE; values from VASP
! - Fermi-level density of states (states/eV/atom) = 0.807
! - formation energy (no corrections) (eV per atom) = 1.25
! - space group = P4/mmm
&SYSTEM
  ibrav = 0, nat = 5, ntyp = 4
/
ATOMIC_SPECIES
Hf 178.49 Hf.upf
Mo 95.94 Mo.upf
C 12.01 C.upf
Cl 35.45 Cl.upf
ATOMIC_POSITIONS angstrom
Hf 0.000 2.416 0.000
Hf 2.416 0.000 0.000
Mo 0.000 0.000 1.805
C 2.416 2.416 1.805
Cl 2.416 2.416 0.000
CELL_PARAMETERS angstrom
4.831 0.000 0.000
0.000 4.831 0.000
0.000 0.000 3.611


(8)
! LaPmDy3Sc, optimized geometry, DFT PBE; values from VASP
! - formation energy (meV per atom) = 47.7
! - Fermi-level density of states (states/eV/atom) = 1.638
! - space group = Cmcm
&SYSTEM
  ibrav = 0, nat = 12, ntyp = 4
/
ATOMIC_SPECIES
La 138.91 La.upf
Pm 145.00 Pm.upf
Dy 162.50 Dy.upf
Sc 44.96 Sc.upf
ATOMIC_POSITIONS angstrom
La 2.515 7.477 7.554
La 2.515 -7.477 2.518
Pm 2.515 0.000 0.000
Pm 2.515 0.000 5.036
Dy 2.515 4.963 0.005
Dy 2.515 4.963 5.031
Dy 2.515 2.577 7.554
Dy 2.515 -2.577 2.518
Dy 2.515 -4.963 5.041
Dy 2.515 -4.963 10.067
Sc 2.515 2.552 2.518
Sc 2.515 -2.552 7.554
CELL_PARAMETERS angstrom
2.515 -7.508 0.000
2.515 7.508 0.000
0.000 0.000 10.072